This record from Alexandria via LeMat-Bulk describes a relaxed AsPbBr2 crystal. The functional is PBEsol.

Cell: 3.6441 3.6441 7.9134 Å, 90.00 90.00 90.00°
With the nearest neighbours (Å) after each atom.
Fractional coordinates of all 4 atoms:
As  0.5000  0.5000  0.7638  4 Br 2.89, 4 Pb 3.22
Pb  0.0000  0.0000  0.5191  5 Br 3.16-3.24, 4 As 3.22
Br  0.0000  0.0000  0.9286  4 As 2.89
Br  0.5000  0.5000  0.2885  4 Pb 3.16

Formation energy (no corrections)   -0.0623 eV per atom
DOS at the Fermi energy   0.490 states/eV per atom
Magnetic moment   0.00 μB/cell